{
  "formula": "KCeBi2",
  "functional": "PBE-GGA",
  "state": "optimized geometry",
  "lattice_angstrom": [[-3.412, -0.995, -2.375], [2.492, -0.278, -3.462], [1.196, -7.614, 1.471]],
  "species": ["K", "Bi", "Bi", "Ce"],
  "fractional_positions": [[0.500, 0.500, 0.500], [0.000, 0.000, 0.799], [0.000, 0.000, 0.201], [0.500, 0.500, 0.000]],
  "energy_ev_per_atom": -4.22,
  "n_ef_per_ev_fu": 5.94,
  "e_form_ev_per_fu": -2.07,
  "volume_a3_per_cell": 143.38,
  "spacegroup": "P4/mmm",
  "polymorph_energy_mev_per_atom": 0
}